# SrAgAuCl2

A crystal of SrAgAuCl2 relaxed with PBEsol (SCAN, the Alexandria database).

Unit cell a=4.829 b=4.829 c=6.117 alpha=90.00 beta=90.00 gamma=90.00
Sites, in units of the cell vectors:
Sr: 0.000 0.000 0.000
Ag: 0.000 0.000 0.500
Au: 0.500 0.500 0.000
Cl: 0.000 0.500 0.500
Cl: 0.500 0.000 0.500

## Properties
Crystal system: tetragonal
Space group: P4/mmm
Uncorrected formation energy in meV/atom: -605
Final energy in eV per atom: -28.356


# CoAgAu

A crystal of CoAgAu relaxed with PBEsol (SCAN, the Alexandria database).

Unit cell a=4.381 b=4.381 c=2.696 alpha=90.00 beta=90.00 gamma=120.00
Sites, in units of the cell vectors:
Co: 0.000 0.000 0.000
Ag: 0.333 0.667 0.659
Au: 0.667 0.333 0.256

## Properties
Crystal system: trigonal
Energy of formation from the pure elements in meV/atom: 131
Space group: P3m1
Final energy in eV per atom: -39.145


# CoAg3Au

A crystal of CoAg3Au relaxed with PBEsol (SCAN, the Alexandria database).

Unit cell a=4.624 b=4.624 c=4.624 alpha=90.00 beta=90.00 gamma=90.00
Sites, in units of the cell vectors:
Co: 0.000 0.000 0.000
Ag: 0.000 0.000 0.500
Ag: 0.000 0.500 0.000
Ag: 0.500 0.000 0.000
Au: 0.500 0.500 0.500

## Properties
Crystal system: cubic
Energy of formation from the pure elements in meV/atom: 1007
Space group: Pm-3m
Energy above the most stable polymorph in this dataset in meV/atom: 0
Final energy in eV per atom: -35.105


# CoAgAu2

A crystal of CoAgAu2 relaxed with PBEsol (SCAN, the Alexandria database).

Unit cell a=2.796 b=2.796 c=7.796 alpha=90.00 beta=90.00 gamma=90.00
Sites, in units of the cell vectors:
Co: 0.000 0.000 0.000
Ag: 0.000 0.000 0.500
Au: 0.500 0.500 0.228
Au: 0.500 0.500 0.772

## Properties
Crystal system: tetragonal
Energy of formation from the pure elements in meV/atom: 30
Space group: P4/mmm
Final energy in eV per atom: -46.716


# MnCoAgAu2

A crystal of MnCoAgAu2 relaxed with PBEsol (SCAN, the Alexandria database).

Unit cell a=4.686 b=4.686 c=4.290 alpha=90.00 beta=90.00 gamma=90.00
Sites, in units of the cell vectors:
Mn: 0.000 0.000 0.000
Co: 0.000 0.000 0.500
Ag: 0.500 0.500 0.000
Au: 0.000 0.500 0.500
Au: 0.500 0.000 0.500

## Properties
Crystal system: tetragonal
Energy of formation from the pure elements in meV/atom: 554
Space group: P4/mmm
Final energy in eV per atom: -40.494


# CrAg2Au

A crystal of CrAg2Au relaxed with PBEsol (SCAN, the Alexandria database).

Unit cell a=5.526 b=9.578 c=2.849 alpha=90.00 beta=118.56 gamma=90.00
Sites, in units of the cell vectors:
Cr: 0.000 0.000 0.000
Cr: 0.500 0.500 0.000
Ag: 0.250 0.250 0.500
Ag: 0.250 0.750 0.500
Ag: 0.750 0.250 0.500
Ag: 0.750 0.750 0.500
Au: 0.000 0.500 0.000
Au: 0.500 0.000 0.000

## Properties
Crystal system: monoclinic
Energy of formation from the pure elements in meV/atom: 73
Space group: C2/m
Energy above the most stable polymorph in this dataset in meV/atom: 0
Final energy in eV per atom: -37.496


# CrAgAu

A crystal of CrAgAu relaxed with PBEsol (SCAN, the Alexandria database).

Unit cell a=3.330 b=3.330 c=8.708 alpha=90.00 beta=90.00 gamma=90.00
Sites, in units of the cell vectors:
Cr: 0.000 0.000 0.000
Cr: 0.500 0.500 0.500
Ag: 0.000 0.000 0.667
Ag: 0.500 0.500 0.167
Au: 0.000 0.000 0.343
Au: 0.500 0.500 0.843

## Properties
Crystal system: tetragonal
Energy of formation from the pure elements in meV/atom: 14
Space group: I4mm
Final energy in eV per atom: -39.623


# CrAg2Au

A crystal of CrAg2Au relaxed with PBEsol (SCAN, the Alexandria database).

Unit cell a=5.645 b=7.829 c=2.987 alpha=90.00 beta=90.00 gamma=90.00
Sites, in units of the cell vectors:
Cr: 0.000 0.000 0.000
Cr: 0.500 0.500 0.000
Ag: 0.250 0.250 0.500
Ag: 0.250 0.750 0.500
Ag: 0.750 0.250 0.500
Ag: 0.750 0.750 0.500
Au: 0.000 0.500 0.000
Au: 0.500 0.000 0.000

## Properties
Crystal system: orthorhombic
Energy of formation from the pure elements in meV/atom: 90
Space group: Cmmm
Energy above the most stable polymorph in this dataset in meV/atom: 17
Final energy in eV per atom: -37.479